Entry from Alexandria: a relaxed structure of SbOs2Se (PBE).

a b c (Å): 2.868 3.708 7.794
angles (deg): 90.00 100.24 90.00
Space group Pm (No. 6)
Symmetry-distinct sites (fractional):
1 Sb 0.000 0.000 0.000 (multiplicity 1)
2 Os 0.393 0.500 0.776 (multiplicity 1)
3 Os 0.819 0.000 0.623 (multiplicity 1)
4 Se 0.705 0.500 0.390 (multiplicity 1)

## Properties
- E: -28.7 eV per formula unit
- Theoretical density: 11.8 g cm⁻³
- V: 81.6 Å³ per cell
- Polymorph energy (0 for the lowest one): 0.00 kcal/mol of atoms
- Formation energy without anion corrections: 0.354 eV/atom
- Total moment: 0.00 Bohr magnetons per cell


Entry from Alexandria: a relaxed structure of Li2FeRh (PBE).

a b c (Å): 2.653 3.872 5.355
angles (deg): 90.00 90.00 90.00
Space group Pmm2 (No. 25)
Symmetry-distinct sites (fractional):
1 Li 0.000 0.000 0.000 (multiplicity 1)
2 Li 0.500 0.500 0.244 (multiplicity 1)
3 Fe 0.500 0.500 0.709 (multiplicity 1)
4 Rh 0.000 0.000 0.521 (multiplicity 1)

## Properties
- E: -19.5 eV per formula unit
- Theoretical density: 5.2 g cm⁻³
- V: 55.0 Å³ per cell
- Total moment: 2.93 Bohr magnetons per cell


Entry from Alexandria: a relaxed structure of Rb2TiTlBr6 (PBE).

a b c (Å): 11.518 11.518 11.518
angles (deg): 90.00 90.00 90.00
Space group Fm-3m (No. 225)
Symmetry-distinct sites (fractional):
1 Rb 0.250 0.250 0.250 (multiplicity 8)
2 Ti 0.000 0.000 0.000 (multiplicity 4)
3 Tl 0.000 0.000 0.500 (multiplicity 4)
4 Br 0.000 0.000 0.225 (multiplicity 24)

## Properties
- E: -35.5 eV per formula unit
- Theoretical density: 3.9 g cm⁻³
- V: 1527.9 Å³ per cell
- Polymorph energy (0 for the lowest one): 0.30 kcal/mol of atoms
- Formation energy without anion corrections: -1.322 eV/atom
- Total moment: 4.00 Bohr magnetons per cell


Entry from Alexandria: a relaxed structure of AlAsSe2N (PBE).

a b c (Å): 4.909 4.909 4.897
angles (deg): 90.00 90.00 90.00
Space group P4/mmm (No. 123)
Symmetry-distinct sites (fractional):
1 Al 0.000 0.000 0.000 (multiplicity 1)
2 As 0.000 0.000 0.500 (multiplicity 1)
3 Se 0.000 0.500 0.000 (multiplicity 2)
4 N 0.500 0.500 0.500 (multiplicity 1)

## Properties
- E: -17.3 eV per formula unit
- Theoretical density: 3.9 g cm⁻³
- V: 118.0 Å³ per cell
- Polymorph energy (0 for the lowest one): 20.38 kcal/mol of atoms
- Formation energy without anion corrections: 1.270 eV/atom
- Total moment: 2.37 Bohr magnetons per cell


Entry from Alexandria: a relaxed structure of NaAlPdSe2 (PBE).

a b c (Å): 4.986 4.986 5.077
angles (deg): 90.00 90.00 90.00
Space group P4/mmm (No. 123)
Symmetry-distinct sites (fractional):
1 Na 0.000 0.000 0.000 (multiplicity 1)
2 Al 0.500 0.500 0.000 (multiplicity 1)
3 Pd 0.000 0.000 0.500 (multiplicity 1)
4 Se 0.000 0.500 0.500 (multiplicity 2)

## Properties
- E: -17.0 eV per formula unit
- Theoretical density: 4.1 g cm⁻³
- V: 126.2 Å³ per cell
- Formation energy without anion corrections: 0.053 eV/atom
- Total moment: 0.00 Bohr magnetons per cell


Entry from Alexandria: a relaxed structure of Cu2PAu (PBE).

a b c (Å): 2.747 2.747 7.796
angles (deg): 90.00 90.00 90.00
Space group P4mm (No. 99)
Symmetry-distinct sites (fractional):
1 Cu 0.000 0.000 0.000 (multiplicity 1)
2 Cu 0.500 0.500 0.222 (multiplicity 1)
3 P 0.000 0.000 0.426 (multiplicity 1)
4 Au 0.500 0.500 0.751 (multiplicity 1)

## Properties
- E: -16.2 eV per formula unit
- Theoretical density: 10.0 g cm⁻³
- V: 58.8 Å³ per cell
- Total moment: 0.00 Bohr magnetons per cell


Entry from Alexandria: a relaxed structure of Pm3PrTl (PBE).

a b c (Å): 10.725 5.539 11.327
angles (deg): 90.00 90.00 90.00
Space group Pnma (No. 62)
Symmetry-distinct sites (fractional):
1 Pm 0.094 0.250 0.112 (multiplicity 4)
2 Pm 0.099 0.750 0.673 (multiplicity 4)
3 Pm 0.141 0.750 0.351 (multiplicity 4)
4 Pr 0.224 0.250 0.514 (multiplicity 4)
5 Tl 0.069 0.250 0.837 (multiplicity 4)

## Properties
- E: -21.7 eV per formula unit
- Theoretical density: 7.7 g cm⁻³
- V: 672.9 Å³ per cell
- Polymorph energy (0 for the lowest one): 1.49 kcal/mol of atoms
- Total moment: 0.00 Bohr magnetons per cell


Entry from Alexandria: a relaxed structure of YHgPb3 (PBE).

a b c (Å): 5.945 5.945 5.945
angles (deg): 90.00 90.00 90.00
Space group Pm-3m (No. 221)
Symmetry-distinct sites (fractional):
1 Y 0.000 0.000 0.000 (multiplicity 1)
2 Hg 0.500 0.500 0.500 (multiplicity 1)
3 Pb 0.000 0.000 0.500 (multiplicity 3)

## Properties
- E: -15.9 eV per formula unit
- Theoretical density: 7.2 g cm⁻³
- V: 210.1 Å³ per cell
- Polymorph energy (0 for the lowest one): 12.97 kcal/mol of atoms
- Total moment: 0.00 Bohr magnetons per cell


Question: What is the formula in the eighth record?
Answer: YHgPb3